8
Lattice="-0.9300 2.6711 3.6994 -1.7858 -3.6874 2.2134 3.0735 -1.5389 4.8146" Properties=species:S:1:pos:R:3 comment="BIr2O (PBE, relaxed)" n_ef_per_ev_atom=0.7125 relative_energy_mev_per_atom=0 pbc="T T T"
B -1.3579 -0.5082 2.9564
B -0.0351 -2.8672 4.9922
Ir -0.0177 0.7710 3.7194
Ir -0.4824 -2.3027 3.1225
Ir 1.2515 -1.6081 5.8720
Ir -0.0359 -1.9706 8.7410
O 0.0000 0.0000 0.0000
O 0.3928 0.3120 5.7352